1.
An optimized crystal structure of OsPbI3, computed with PBE.

The space group is Pm-3m (No. 221) and the conventional cell measures 5.413, 5.413 and 5.413 Å, with angles of 90.00, 90.00 and 90.00 degrees. Symmetry generates all atoms from Os at (0.000, 0.000, 0.000), Pb at (0.500, 0.500, 0.500) and I at (0.000, 0.000, 0.500).

The electronic total energy is -16.94 eV/cell. The spin magnetization comes out at 0.00 Bohr magnetons per cell.


2.
An optimized crystal structure of OsPb3I, computed with PBE.

The space group is Pm-3m (No. 221) and the conventional cell measures 5.372, 5.372 and 5.372 Å, with angles of 90.00, 90.00 and 90.00 degrees. Symmetry generates all atoms from Os at (0.000, 0.000, 0.000), Pb at (0.000, 0.000, 0.500) and I at (0.500, 0.500, 0.500).

The electronic total energy is -22.81 eV/cell. The spin magnetization comes out at 0.00 Bohr magnetons per cell.


Copy entry 1 word for word.
An optimized crystal structure of OsPbI3, computed with PBE.

The space group is Pm-3m (No. 221) and the conventional cell measures 5.413, 5.413 and 5.413 Å, with angles of 90.00, 90.00 and 90.00 degrees. Symmetry generates all atoms from Os at (0.000, 0.000, 0.000), Pb at (0.500, 0.500, 0.500) and I at (0.000, 0.000, 0.500).

The electronic total energy is -16.94 eV/cell. The spin magnetization comes out at 0.00 Bohr magnetons per cell.


> Which value of electronic total energy does entry 2 give?

-22.81 eV/cell